A plane-wave DFT calculation with SCAN was carried out for a PBEsol-optimized structure of ScPt2W.

DFT formation energy = -2.85 eV/f.u.
DFT total energy = -56.79 eV/atom
Symmetry = Cmmm

The structure in POSCAR format:
```
ScPt2W
1.0
2.7946 0.0000 0.0000
0.0000 4.8776 -0.0118
0.0000 -1.6359 4.5951
Pt Sc W
2 1 1
Direct
0.0000 0.5000 0.0000
0.0000 0.0000 0.5000
0.5000 0.0000 0.0000
0.5000 0.5000 0.5000
```